--- 1 ---
# GGA-PBE BaCdAs3, relaxed
data_BaCdAs3
_cell_length_a 5.2719
_cell_length_b 5.2719
_cell_length_c 5.2719
_cell_angle_alpha 90.00
_cell_angle_beta 90.00
_cell_angle_gamma 90.00
_space_group_name_H-M_alt 'P 1'
_space_group_IT_number 1
loop_
_space_group_symop_operation_xyz
'x,y,z'
loop_
_atom_site_label
_atom_site_type_symbol
_atom_site_fract_x
_atom_site_fract_y
_atom_site_fract_z
As1 As 0.0000 0.0000 0.5000
As2 As 0.5000 0.0000 0.0000
Ba1 Ba 0.5000 0.5000 0.5000
Cd1 Cd 0.0000 0.0000 0.0000
As3 As 0.0000 0.5000 0.0000
# Fermi-level density of states (states/eV/f.u.): 3.8
# Space-group type: Pm-3m



--- 2 ---
# GGA-PBE BaCdAs3, relaxed
data_BaCdAs3
_cell_length_a 5.8669
_cell_length_b 5.8669
_cell_length_c 5.8669
_cell_angle_alpha 90.00
_cell_angle_beta 90.00
_cell_angle_gamma 90.00
_space_group_name_H-M_alt 'P 1'
_space_group_IT_number 1
loop_
_space_group_symop_operation_xyz
'x,y,z'
loop_
_atom_site_label
_atom_site_type_symbol
_atom_site_fract_x
_atom_site_fract_y
_atom_site_fract_z
As1 As 0.0000 0.5000 0.0000
As2 As 0.5000 0.0000 0.0000
As3 As 0.0000 0.0000 0.5000
Cd1 Cd 0.5000 0.5000 0.5000
Ba1 Ba 0.0000 0.0000 0.0000
# Fermi-level density of states (states/eV/f.u.): 4.1
# Space-group type: Pm-3m



Most stable: 1



--- 1 ---
# GGA-PBE BaCdAs, relaxed
data_BaCdAs
_cell_length_a 5.1944
_cell_length_b 4.4270
_cell_length_c 8.4457
_cell_angle_alpha 90.00
_cell_angle_beta 99.19
_cell_angle_gamma 90.01
_space_group_name_H-M_alt 'P 1'
_space_group_IT_number 1
loop_
_space_group_symop_operation_xyz
'x,y,z'
loop_
_atom_site_label
_atom_site_type_symbol
_atom_site_fract_x
_atom_site_fract_y
_atom_site_fract_z
Ba1 Ba 0.8305 0.4949 0.6087
Ba2 Ba 0.3632 0.4949 0.2149
Cd1 Cd 0.3287 0.9954 0.8421
As1 As 0.3000 0.9948 0.5151
As2 As 0.8937 0.9948 0.3085
Cd2 Cd 0.8650 0.9948 0.9814
# Fermi-level density of states (states/eV/f.u.): 1.0
# Space-group type: P2/m



--- 2 ---
# GGA-PBE BaCdAs, relaxed
data_BaCdAs
_cell_length_a 6.4506
_cell_length_b 6.4506
_cell_length_c 6.4506
_cell_angle_alpha 146.24
_cell_angle_beta 143.01
_cell_angle_gamma 50.94
_space_group_name_H-M_alt 'P 1'
_space_group_IT_number 1
loop_
_space_group_symop_operation_xyz
'x,y,z'
loop_
_atom_site_label
_atom_site_type_symbol
_atom_site_fract_x
_atom_site_fract_y
_atom_site_fract_z
Ba1 Ba 0.3371 0.3371 0.0000
Cd1 Cd 0.6360 0.6360 0.0000
As1 As 0.0269 0.0269 0.0000
# Fermi-level density of states (states/eV/f.u.): 2.4
# Space-group type: Imm2



--- 3 ---
# GGA-PBE BaCdAs, relaxed
data_BaCdAs
_cell_length_a 5.4034
_cell_length_b 5.4034
_cell_length_c 5.4034
_cell_angle_alpha 60.00
_cell_angle_beta 60.00
_cell_angle_gamma 60.00
_space_group_name_H-M_alt 'P 1'
_space_group_IT_number 1
loop_
_space_group_symop_operation_xyz
'x,y,z'
loop_
_atom_site_label
_atom_site_type_symbol
_atom_site_fract_x
_atom_site_fract_y
_atom_site_fract_z
Ba1 Ba 0.7500 0.7500 0.7500
As1 As 0.5000 0.5000 0.5000
Cd1 Cd 0.0000 0.0000 0.0000
# Fermi-level density of states (states/eV/f.u.): 2.0
# Space-group type: F-43m



--- 4 ---
# GGA-PBE BaCdAs, relaxed
data_BaCdAs
_cell_length_a 4.7230
_cell_length_b 4.7217
_cell_length_c 9.6758
_cell_angle_alpha 90.00
_cell_angle_beta 90.00
_cell_angle_gamma 120.01
_space_group_name_H-M_alt 'P 1'
_space_group_IT_number 1
loop_
_space_group_symop_operation_xyz
'x,y,z'
loop_
_atom_site_label
_atom_site_type_symbol
_atom_site_fract_x
_atom_site_fract_y
_atom_site_fract_z
Ba1 Ba 0.0000 0.0000 0.0000
As1 As 0.3329 0.6659 0.2500
Cd1 Cd 0.3336 0.6673 0.7500
As2 As 0.6671 0.3341 0.7500
Ba2 Ba 0.0000 0.0000 0.5000
Cd2 Cd 0.6664 0.3327 0.2500
# Fermi-level density of states (states/eV/f.u.): 2.7
# Space-group type: P6_3/mmc



Most stable: 1



--- 1 ---
# GGA-PBE BaCdAs, relaxed
data_BaCdAs
_cell_length_a 4.7355
_cell_length_b 4.7355
_cell_length_c 4.8367
_cell_angle_alpha 90.00
_cell_angle_beta 90.00
_cell_angle_gamma 120.00
_space_group_name_H-M_alt 'P 1'
_space_group_IT_number 1
loop_
_space_group_symop_operation_xyz
'x,y,z'
loop_
_atom_site_label
_atom_site_type_symbol
_atom_site_fract_x
_atom_site_fract_y
_atom_site_fract_z
Ba1 Ba 0.6667 0.3333 0.3323
Cd1 Cd 0.3333 0.6667 0.8249
As1 As 0.0000 0.0000 0.8428
# Fermi-level density of states (states/eV/f.u.): 3.0
# Space-group type: P3m1



--- 2 ---
# GGA-PBE BaCdAs, relaxed
data_BaCdAs
_cell_length_a 5.3111
_cell_length_b 5.3111
_cell_length_c 5.3111
_cell_angle_alpha 60.00
_cell_angle_beta 60.00
_cell_angle_gamma 60.00
_space_group_name_H-M_alt 'P 1'
_space_group_IT_number 1
loop_
_space_group_symop_operation_xyz
'x,y,z'
loop_
_atom_site_label
_atom_site_type_symbol
_atom_site_fract_x
_atom_site_fract_y
_atom_site_fract_z
Ba1 Ba 0.0000 0.0000 0.0000
As1 As 0.2500 0.2500 0.2500
Cd1 Cd 0.5000 0.5000 0.5000
# Fermi-level density of states (states/eV/f.u.): 1.3
# Space-group type: F-43m



Most stable: 1



--- 1 ---
# GGA-PBE BaCdAsSe2, relaxed
data_BaCdAsSe2
_cell_length_a 6.2751
_cell_length_b 6.2751
_cell_length_c 6.5943
_cell_angle_alpha 90.00
_cell_angle_beta 90.00
_cell_angle_gamma 90.00
_space_group_name_H-M_alt 'P 1'
_space_group_IT_number 1
loop_
_space_group_symop_operation_xyz
'x,y,z'
loop_
_atom_site_label
_atom_site_type_symbol
_atom_site_fract_x
_atom_site_fract_y
_atom_site_fract_z
Se1 Se 0.5000 0.0000 0.0000
As1 As 0.0000 0.0000 0.5000
Cd1 Cd 0.5000 0.5000 0.5000
Ba1 Ba 0.0000 0.0000 0.0000
Se2 Se 0.0000 0.5000 0.0000
# Fermi-level density of states (states/eV/f.u.): 9.1
# Space-group type: P4/mmm



--- 2 ---
# GGA-PBE BaCdAsSe2, relaxed
data_BaCdAsSe2
_cell_length_a 5.4337
_cell_length_b 5.4337
_cell_length_c 5.0941
_cell_angle_alpha 90.00
_cell_angle_beta 90.00
_cell_angle_gamma 90.00
_space_group_name_H-M_alt 'P 1'
_space_group_IT_number 1
loop_
_space_group_symop_operation_xyz
'x,y,z'
loop_
_atom_site_label
_atom_site_type_symbol
_atom_site_fract_x
_atom_site_fract_y
_atom_site_fract_z
Ba1 Ba 0.5000 0.5000 0.5000
As1 As 0.0000 0.0000 0.5000
Se1 Se 0.0000 0.5000 0.0000
Se2 Se 0.5000 0.0000 0.0000
Cd1 Cd 0.0000 0.0000 0.0000
# Fermi-level density of states (states/eV/f.u.): 4.3
# Space-group type: P4/mmm



Most stable: 2



--- 1 ---
# GGA-PBE BaAsCl3, relaxed
data_BaAsCl3
_cell_length_a 5.3347
_cell_length_b 5.3347
_cell_length_c 5.3347
_cell_angle_alpha 90.00
_cell_angle_beta 90.00
_cell_angle_gamma 90.00
_space_group_name_H-M_alt 'P 1'
_space_group_IT_number 1
loop_
_space_group_symop_operation_xyz
'x,y,z'
loop_
_atom_site_label
_atom_site_type_symbol
_atom_site_fract_x
_atom_site_fract_y
_atom_site_fract_z
As1 As 0.0000 0.0000 0.0000
Ba1 Ba 0.5000 0.5000 0.5000
Cl1 Cl 0.5000 0.0000 0.0000
Cl2 Cl 0.0000 0.5000 0.0000
Cl3 Cl 0.0000 0.0000 0.5000
# Fermi-level density of states (states/eV/f.u.): 2.3
# Space-group type: Pm-3m



--- 2 ---
# GGA-PBE BaAsCl3, relaxed
data_BaAsCl3
_cell_length_a 6.0192
_cell_length_b 6.0192
_cell_length_c 6.0192
_cell_angle_alpha 90.00
_cell_angle_beta 90.00
_cell_angle_gamma 90.00
_space_group_name_H-M_alt 'P 1'
_space_group_IT_number 1
loop_
_space_group_symop_operation_xyz
'x,y,z'
loop_
_atom_site_label
_atom_site_type_symbol
_atom_site_fract_x
_atom_site_fract_y
_atom_site_fract_z
Cl1 Cl 0.0000 0.5000 0.0000
Cl2 Cl 0.5000 0.0000 0.0000
Cl3 Cl 0.0000 0.0000 0.5000
As1 As 0.5000 0.5000 0.5000
Ba1 Ba 0.0000 0.0000 0.0000
# Fermi-level density of states (states/eV/f.u.): 21.0
# Space-group type: Pm-3m



Most stable: 1



--- 1 ---
# GGA-PBE BaAsP2Cl, relaxed
data_BaAsP2Cl
_cell_length_a 4.7782
_cell_length_b 4.7782
_cell_length_c 5.6315
_cell_angle_alpha 90.00
_cell_angle_beta 90.00
_cell_angle_gamma 90.00
_space_group_name_H-M_alt 'P 1'
_space_group_IT_number 1
loop_
_space_group_symop_operation_xyz
'x,y,z'
loop_
_atom_site_label
_atom_site_type_symbol
_atom_site_fract_x
_atom_site_fract_y
_atom_site_fract_z
Ba1 Ba 0.5000 0.5000 0.5000
Cl1 Cl 0.0000 0.0000 0.5000
P1 P 0.5000 0.0000 0.0000
P2 P 0.0000 0.5000 0.0000
As1 As 0.0000 0.0000 0.0000
# Fermi-level density of states (states/eV/f.u.): 2.3
# Space-group type: P4/mmm



--- 2 ---
# GGA-PBE BaAsP2Cl, relaxed
data_BaAsP2Cl
_cell_length_a 6.4405
_cell_length_b 6.4405
_cell_length_c 5.8034
_cell_angle_alpha 90.00
_cell_angle_beta 90.00
_cell_angle_gamma 90.00
_space_group_name_H-M_alt 'P 1'
_space_group_IT_number 1
loop_
_space_group_symop_operation_xyz
'x,y,z'
loop_
_atom_site_label
_atom_site_type_symbol
_atom_site_fract_x
_atom_site_fract_y
_atom_site_fract_z
P1 P 0.5000 0.0000 0.0000
P2 P 0.0000 0.5000 0.0000
Cl1 Cl 0.0000 0.0000 0.5000
Ba1 Ba 0.0000 0.0000 0.0000
As1 As 0.5000 0.5000 0.5000
# Fermi-level density of states (states/eV/f.u.): 0.1
# Space-group type: P4/mmm



Most stable: 1



--- 1 ---
# GGA-PBE BaAsS2Cl, relaxed
data_BaAsS2Cl
_cell_length_a 4.9904
_cell_length_b 4.9904
_cell_length_c 5.0454
_cell_angle_alpha 90.00
_cell_angle_beta 90.00
_cell_angle_gamma 90.00
_space_group_name_H-M_alt 'P 1'
_space_group_IT_number 1
loop_
_space_group_symop_operation_xyz
'x,y,z'
loop_
_atom_site_label
_atom_site_type_symbol
_atom_site_fract_x
_atom_site_fract_y
_atom_site_fract_z
S1 S 0.5000 0.0000 0.0000
As1 As 0.0000 0.0000 0.0000
Ba1 Ba 0.5000 0.5000 0.5000
S2 S 0.0000 0.5000 0.0000
Cl1 Cl 0.0000 0.0000 0.5000
# Fermi-level density of states (states/eV/f.u.): 0.5
# Space-group type: P4/mmm



--- 2 ---
# GGA-PBE BaAsS2Cl, relaxed
data_BaAsS2Cl
_cell_length_a 5.8909
_cell_length_b 5.8909
_cell_length_c 5.6640
_cell_angle_alpha 90.00
_cell_angle_beta 90.00
_cell_angle_gamma 90.00
_space_group_name_H-M_alt 'P 1'
_space_group_IT_number 1
loop_
_space_group_symop_operation_xyz
'x,y,z'
loop_
_atom_site_label
_atom_site_type_symbol
_atom_site_fract_x
_atom_site_fract_y
_atom_site_fract_z
Cl1 Cl 0.0000 0.0000 0.5000
As1 As 0.5000 0.5000 0.5000
Ba1 Ba 0.0000 0.0000 0.0000
S1 S 0.0000 0.5000 0.0000
S2 S 0.5000 0.0000 0.0000
# Fermi-level density of states (states/eV/f.u.): 7.2
# Space-group type: P4/mmm



Most stable: 1



--- 1 ---
# GGA-PBE BaAsSe2Cl, relaxed
data_BaAsSe2Cl
_cell_length_a 5.4446
_cell_length_b 5.4446
_cell_length_c 4.8086
_cell_angle_alpha 90.00
_cell_angle_beta 90.00
_cell_angle_gamma 90.00
_space_group_name_H-M_alt 'P 1'
_space_group_IT_number 1
loop_
_space_group_symop_operation_xyz
'x,y,z'
loop_
_atom_site_label
_atom_site_type_symbol
_atom_site_fract_x
_atom_site_fract_y
_atom_site_fract_z
As1 As 0.0000 0.0000 0.5000
Se1 Se 0.0000 0.5000 0.0000
Cl1 Cl 0.0000 0.0000 0.0000
Se2 Se 0.5000 0.0000 0.0000
Ba1 Ba 0.5000 0.5000 0.5000
# Fermi-level density of states (states/eV/f.u.): 6.0
# Space-group type: P4/mmm



--- 2 ---
# GGA-PBE BaAsSe2Cl, relaxed
data_BaAsSe2Cl
_cell_length_a 6.2841
_cell_length_b 6.2841
_cell_length_c 6.4750
_cell_angle_alpha 90.00
_cell_angle_beta 90.00
_cell_angle_gamma 90.00
_space_group_name_H-M_alt 'P 1'
_space_group_IT_number 1
loop_
_space_group_symop_operation_xyz
'x,y,z'
loop_
_atom_site_label
_atom_site_type_symbol
_atom_site_fract_x
_atom_site_fract_y
_atom_site_fract_z
As1 As 0.0000 0.0000 0.5000
Ba1 Ba 0.0000 0.0000 0.0000
Se1 Se 0.0000 0.5000 0.0000
Se2 Se 0.5000 0.0000 0.0000
Cl1 Cl 0.5000 0.5000 0.5000
# Fermi-level density of states (states/eV/f.u.): 12.7
# Space-group type: P4/mmm



Most stable: 1